No. 1
First-principles (PBEsol) data for a relaxed structure of NaMgZr3, as listed in the Alexandria database.

Summary:
Energy above the lowest structure with this stoichiometry ... 0.0 kJ per mole of atoms
E_tot ... -23.95 eV/cell

Unit cell a=5.162 b=5.162 c=5.162 alpha=90.00 beta=90.00 gamma=90.00
Positions (direct):
Na (0.500, 0.500, 0.500)
Mg (0.000, 0.000, 0.000)
Zr (0.000, 0.500, 0.000)
Zr (0.000, 0.000, 0.500)
Zr (0.500, 0.000, 0.000)



No. 2
First-principles (PBEsol) data for a relaxed structure of ZrFeRu2C, as listed in the Alexandria database.

Summary:
E_tot ... -49.65 eV/cell

Unit cell a=3.836 b=4.038 c=4.038 alpha=90.00 beta=90.00 gamma=90.00
Positions (direct):
Ru (0.000, 0.000, 0.500)
Ru (0.000, 0.500, 0.000)
C (0.000, 0.000, 0.000)
Fe (0.500, 0.000, 0.000)
Zr (0.500, 0.500, 0.500)



No. 3
First-principles (PBEsol) data for a relaxed structure of Al2RhW, as listed in the Alexandria database.

Summary:
Energy above the lowest structure with this stoichiometry ... 9.8 kJ per mole of atoms
E_tot ... -30.93 eV/cell

Unit cell a=3.719 b=3.719 c=4.924 alpha=112.19 beta=112.19 gamma=90.00
Positions (direct):
Rh (0.500, 0.500, 0.000)
Al (0.000, 0.000, 0.000)
Al (0.750, 0.250, 0.500)
W (0.250, 0.750, 0.500)



No. 4
First-principles (PBEsol) data for a relaxed structure of Ba2MgAl, as listed in the Alexandria database.

Summary:
Energy above the lowest structure with this stoichiometry ... 0.0 kJ per mole of atoms
E_tot ... -10.35 eV/cell

Unit cell a=4.063 b=5.862 c=6.900 alpha=115.13 beta=107.12 gamma=90.00
Positions (direct):
Mg (0.549, 0.549, 0.099)
Ba (0.962, 0.962, 0.924)
Ba (0.771, 0.271, 0.541)
Al (0.218, 0.718, 0.436)



No. 5
First-principles (PBEsol) data for a relaxed structure of BeIr2Rh, as listed in the Alexandria database.

Summary:
E_tot ... -32.18 eV/cell

Unit cell a=3.734 b=3.734 c=4.522 alpha=114.39 beta=114.39 gamma=90.00
Positions (direct):
Be (0.000, 0.000, 0.000)
Ir (0.750, 0.250, 0.500)
Ir (0.250, 0.750, 0.500)
Rh (0.500, 0.500, 0.000)



No. 6
First-principles (PBEsol) data for a relaxed structure of AlRe2W, as listed in the Alexandria database.

Summary:
E_tot ... -44.98 eV/cell

Unit cell a=3.113 b=4.272 c=5.122 alpha=114.65 beta=107.69 gamma=90.00
Positions (direct):
Re (0.003, 0.503, 0.005)
Re (0.750, 0.750, 0.500)
Al (0.252, 0.252, 0.504)
W (0.495, 0.995, 0.991)



No. 7
First-principles (PBEsol) data for a relaxed structure of CaCu2Rh, as listed in the Alexandria database.

Summary:
Energy above the lowest structure with this stoichiometry ... 0.0 kJ per mole of atoms
E_tot ... -18.70 eV/cell

Unit cell a=3.235 b=3.242 c=6.059 alpha=90.00 beta=90.00 gamma=90.00
Positions (direct):
Ca (0.500, 0.500, 0.500)
Cu (0.000, 0.000, 0.803)
Cu (0.000, 0.000, 0.197)
Rh (0.500, 0.500, 0.000)



No. 8
First-principles (PBEsol) data for a relaxed structure of N, as listed in the Alexandria database.

Summary:
Energy relative to the elements, uncorrected ... 121.2 kJ per mole of atoms
Energy above the lowest structure with this stoichiometry ... 121.2 kJ per mole of atoms
E_tot ... -21.81 eV/cell

Unit cell a=3.330 b=3.495 c=3.495 alpha=120.00 beta=90.00 gamma=90.00
Positions (direct):
N (0.833, 0.000, 0.892)
N (0.500, 0.892, 0.000)
N (0.167, 0.108, 0.108)



No. 9
First-principles (PBEsol) data for a relaxed structure of ErAl2Ge2, as listed in the Alexandria database.

Summary:
E_tot ... -25.10 eV/cell

Unit cell a=4.222 b=4.222 c=6.460 alpha=90.00 beta=90.00 gamma=120.00
Positions (direct):
Ge (0.333, 0.667, 0.253)
Ge (0.667, 0.333, 0.747)
Al (0.333, 0.667, 0.648)
Al (0.667, 0.333, 0.352)
Er (0.000, 0.000, 0.000)



No. 10
First-principles (PBEsol) data for a relaxed structure of ScWSeN2, as listed in the Alexandria database.

Summary:
Energy relative to the elements, uncorrected ... -31.5 kJ per mole of atoms
E_tot ... -42.95 eV/cell

Unit cell a=3.901 b=3.901 c=5.059 alpha=90.00 beta=90.00 gamma=90.00
Positions (direct):
Sc (0.500, 0.500, 0.500)
Se (0.000, 0.000, 0.500)
W (0.000, 0.000, 0.000)
N (0.000, 0.500, 0.000)
N (0.500, 0.000, 0.000)



No. 11
First-principles (PBEsol) data for a relaxed structure of Na3ScC, as listed in the Alexandria database.

Summary:
E_tot ... -9.25 eV/cell

Unit cell a=6.278 b=6.278 c=6.278 alpha=90.00 beta=90.00 gamma=90.00
Site moments in Bohr magnetons follow the coordinates.
Positions (direct):
Sc (0.000, 0.000, 0.000)  1.08
Na (0.000, 0.500, 0.000)  0.01
Na (0.000, 0.000, 0.500)  0.01
Na (0.500, 0.000, 0.000)  0.01
C (0.500, 0.500, 0.500)  1.02



No. 12
First-principles (PBEsol) data for a relaxed structure of LaTlRe2, as listed in the Alexandria database.

Summary:
Energy above the lowest structure with this stoichiometry ... 18.9 kJ per mole of atoms
E_tot ... -30.34 eV/cell

Unit cell a=2.936 b=2.936 c=10.408 alpha=81.89 beta=81.89 gamma=60.00
Positions (direct):
La (0.000, 0.000, 0.000)
Re (0.243, 0.243, 0.270)
Re (0.757, 0.757, 0.730)
Tl (0.500, 0.500, 0.500)



> Look up the E_tot of the third one.

-30.93 eV/cell



> Look up the E_tot of the second one.

-49.65 eV/cell